[1]
{
  "formula": "AcAlO3",
  "functional": "SCAN",
  "state": "single point on PBEsol structure",
  "cell": [[3.844, 0.000, 0.000], [0.000, 3.844, 0.000], [0.000, 0.000, 3.844]],
  "species": ["Ac", "Al", "O", "O", "O"],
  "fractional_positions": [[0.000, 0.000, 0.000], [0.500, 0.500, 0.500], [0.500, 0.500, 0.000], [0.500, 0.000, 0.500], [0.000, 0.500, 0.500]],
  "m_tot_mub_per_cell": 0.00,
  "e_tot_ev_per_cell": -135.16,
  "space_group": "Pm-3m",
  "n_ef_per_ev_cell": 0.000
}



[2]
{
  "formula": "CaAcAu2",
  "functional": "SCAN",
  "state": "single point on PBEsol structure",
  "cell": [[5.263, 0.000, 0.000], [2.631, 4.558, 0.000], [2.631, 1.519, 4.297]],
  "species": ["Ac", "Au", "Au", "Ca"],
  "fractional_positions": [[0.500, 0.500, 0.500], [0.750, 0.750, 0.750], [0.250, 0.250, 0.250], [0.000, 0.000, 0.000]],
  "m_tot_mub_per_cell": 0.00,
  "e_tot_ev_per_cell": -242.35,
  "space_group": "Fm-3m",
  "n_ef_per_ev_cell": 2.648
}



[3]
{
  "formula": "AcCdAu2",
  "functional": "SCAN",
  "state": "single point on PBEsol structure",
  "cell": [[5.120, 0.000, 0.000], [2.560, 4.434, 0.000], [2.560, 1.478, 4.181]],
  "species": ["Ac", "Au", "Au", "Cd"],
  "fractional_positions": [[0.500, 0.500, 0.500], [0.750, 0.750, 0.750], [0.250, 0.250, 0.250], [0.000, 0.000, 0.000]],
  "m_tot_mub_per_cell": 0.00,
  "e_tot_ev_per_cell": -262.17,
  "space_group": "Fm-3m",
  "n_ef_per_ev_cell": 2.488
}



[4]
{
  "formula": "Ac2IrAu",
  "functional": "SCAN",
  "state": "single point on PBEsol structure",
  "cell": [[-2.989, 1.494, -4.095], [-5.167, 0.880, 0.681], [-1.894, 4.929, -0.231]],
  "species": ["Ac", "Ac", "Ir", "Au"],
  "fractional_positions": [[0.250, 0.250, 0.250], [0.750, 0.750, 0.750], [0.000, 0.000, 0.000], [0.500, 0.500, 0.500]],
  "m_tot_mub_per_cell": 0.00,
  "e_tot_ev_per_cell": -324.28,
  "space_group": "Fm-3m",
  "n_ef_per_ev_cell": 2.595
}



[5]
{
  "formula": "NaAcAu2",
  "functional": "SCAN",
  "state": "single point on PBEsol structure",
  "cell": [[-2.346, 1.267, -4.465], [0.014, -3.342, -3.984], [-4.398, -2.397, -1.398]],
  "species": ["Na", "Ac", "Au", "Au"],
  "fractional_positions": [[0.000, 0.000, 0.000], [0.500, 0.500, 0.500], [0.750, 0.750, 0.750], [0.250, 0.250, 0.250]],
  "m_tot_mub_per_cell": 0.00,
  "e_tot_ev_per_cell": -236.06,
  "space_group": "Fm-3m",
  "n_ef_per_ev_cell": 2.154
}



[6]
{
  "formula": "AcPbAu2",
  "functional": "SCAN",
  "state": "single point on PBEsol structure",
  "cell": [[5.207, 0.000, 0.000], [2.603, 4.509, 0.000], [2.603, 1.503, 4.251]],
  "species": ["Pb", "Ac", "Au", "Au"],
  "fractional_positions": [[0.000, 0.000, 0.000], [0.500, 0.500, 0.500], [0.250, 0.250, 0.250], [0.750, 0.750, 0.750]],
  "m_tot_mub_per_cell": 0.00,
  "e_tot_ev_per_cell": -307.59,
  "space_group": "Fm-3m",
  "n_ef_per_ev_cell": 1.609
}



[7]
{
  "formula": "AcSbAu2",
  "functional": "SCAN",
  "state": "single point on PBEsol structure",
  "cell": [[-1.812, -3.639, 3.187], [1.154, -4.967, -0.829], [3.220, -2.472, 3.195]],
  "species": ["Sb", "Ac", "Au", "Au"],
  "fractional_positions": [[0.000, 0.000, 0.000], [0.500, 0.500, 0.500], [0.750, 0.750, 0.750], [0.250, 0.250, 0.250]],
  "m_tot_mub_per_cell": 0.00,
  "e_tot_ev_per_cell": -269.28,
  "space_group": "Fm-3m",
  "n_ef_per_ev_cell": 1.323
}



[8]
{
  "formula": "Ac2SiAu",
  "functional": "SCAN",
  "state": "single point on PBEsol structure",
  "cell": [[-2.611, -3.562, 3.116], [0.701, -5.302, -0.785], [2.733, -2.931, 3.627]],
  "species": ["Ac", "Ac", "Au", "Si"],
  "fractional_positions": [[0.250, 0.250, 0.250], [0.750, 0.750, 0.750], [0.000, 0.000, 0.000], [0.500, 0.500, 0.500]],
  "m_tot_mub_per_cell": 0.69,
  "e_tot_ev_per_cell": -262.81,
  "space_group": "Fm-3m",
  "n_ef_per_ev_cell": 3.291
}



[9]
{
  "formula": "Ac2ZnAu",
  "functional": "SCAN",
  "state": "single point on PBEsol structure",
  "cell": [[-3.370, -3.459, 2.482], [1.748, -4.938, 1.431], [0.728, -1.208, 5.244]],
  "species": ["Ac", "Ac", "Au", "Zn"],
  "fractional_positions": [[0.250, 0.250, 0.250], [0.750, 0.750, 0.750], [0.500, 0.500, 0.500], [0.000, 0.000, 0.000]],
  "m_tot_mub_per_cell": 0.00,
  "e_tot_ev_per_cell": -266.15,
  "space_group": "Fm-3m",
  "n_ef_per_ev_cell": 1.952
}



[10]
{
  "formula": "AcBr3",
  "functional": "SCAN",
  "state": "single point on PBEsol structure",
  "cell": [[4.643, 0.000, 0.000], [0.000, 8.049, 0.000], [0.000, -4.025, 6.971]],
  "species": ["Ac", "Ac", "Br", "Br", "Br", "Br", "Br", "Br"],
  "fractional_positions": [[0.250, 0.667, 0.333], [0.750, 0.333, 0.667], [0.750, 0.385, 0.086], [0.750, 0.701, 0.615], [0.750, 0.914, 0.299], [0.250, 0.615, 0.914], [0.250, 0.299, 0.385], [0.250, 0.086, 0.701]],
  "m_tot_mub_per_cell": 0.00,
  "e_tot_ev_per_cell": -316.32,
  "space_group": "P6_3/m",
  "n_ef_per_ev_cell": 0.000
}



[11]
{
  "formula": "CaAcHg2",
  "functional": "SCAN",
  "state": "single point on PBEsol structure",
  "cell": [[-5.288, -0.925, -0.968], [-2.292, -4.677, 1.622], [-3.569, -0.001, 4.126]],
  "species": ["Ac", "Ca", "Hg", "Hg"],
  "fractional_positions": [[0.500, 0.500, 0.500], [0.000, 0.000, 0.000], [0.250, 0.250, 0.250], [0.750, 0.750, 0.750]],
  "m_tot_mub_per_cell": 0.00,
  "e_tot_ev_per_cell": -239.41,
  "space_group": "Fm-3m",
  "n_ef_per_ev_cell": 2.614
}



[12]
{
  "formula": "CaAcMg2",
  "functional": "SCAN",
  "state": "single point on PBEsol structure",
  "cell": [[5.664, 0.000, 0.000], [2.832, 4.905, 0.000], [2.832, 1.635, 4.624]],
  "species": ["Mg", "Mg", "Ca", "Ac"],
  "fractional_positions": [[0.750, 0.750, 0.750], [0.250, 0.250, 0.250], [0.000, 0.000, 0.000], [0.500, 0.500, 0.500]],
  "m_tot_mub_per_cell": 0.00,
  "e_tot_ev_per_cell": -110.44,
  "space_group": "Fm-3m",
  "n_ef_per_ev_cell": 3.497
}



[13]
{
  "formula": "Ac2CdGa",
  "functional": "SCAN",
  "state": "single point on PBEsol structure",
  "cell": [[-5.169, 1.739, -1.047], [-4.281, -2.182, 2.784], [-2.716, 3.056, 3.758]],
  "species": ["Ac", "Ac", "Ga", "Cd"],
  "fractional_positions": [[0.250, 0.250, 0.250], [0.750, 0.750, 0.750], [0.000, 0.000, 0.000], [0.500, 0.500, 0.500]],
  "m_tot_mub_per_cell": 0.03,
  "e_tot_ev_per_cell": -229.45,
  "space_group": "Fm-3m",
  "n_ef_per_ev_cell": 4.261
}



[14]
{
  "formula": "Ac2CdGe",
  "functional": "SCAN",
  "state": "single point on PBEsol structure",
  "cell": [[5.528, 0.000, 0.000], [2.764, 4.788, 0.000], [2.764, 1.596, 4.514]],
  "species": ["Ac", "Ac", "Ge", "Cd"],
  "fractional_positions": [[0.750, 0.750, 0.750], [0.250, 0.250, 0.250], [0.500, 0.500, 0.500], [0.000, 0.000, 0.000]],
  "m_tot_mub_per_cell": 0.01,
  "e_tot_ev_per_cell": -232.33,
  "space_group": "Fm-3m",
  "n_ef_per_ev_cell": 3.456
}



[15]
{
  "formula": "AcCdHg2",
  "functional": "SCAN",
  "state": "single point on PBEsol structure",
  "cell": [[-2.834, 0.067, 4.445], [-2.323, -4.412, 1.712], [1.809, -2.427, 4.317]],
  "species": ["Ac", "Hg", "Hg", "Cd"],
  "fractional_positions": [[0.500, 0.500, 0.500], [0.250, 0.250, 0.250], [0.750, 0.750, 0.750], [0.000, 0.000, 0.000]],
  "m_tot_mub_per_cell": 0.00,
  "e_tot_ev_per_cell": -259.36,
  "space_group": "Fm-3m",
  "n_ef_per_ev_cell": 1.931
}



[16]
{
  "formula": "AcMgCd2",
  "functional": "SCAN",
  "state": "single point on PBEsol structure",
  "cell": [[5.328, 0.000, 0.000], [2.664, 4.615, 0.000], [2.664, 1.538, 4.351]],
  "species": ["Ac", "Mg", "Cd", "Cd"],
  "fractional_positions": [[0.500, 0.500, 0.500], [0.000, 0.000, 0.000], [0.750, 0.750, 0.750], [0.250, 0.250, 0.250]],
  "m_tot_mub_per_cell": 0.00,
  "e_tot_ev_per_cell": -157.68,
  "space_group": "Fm-3m",
  "n_ef_per_ev_cell": 1.537
}



[17]
{
  "formula": "AcCdRh2",
  "functional": "SCAN",
  "state": "single point on PBEsol structure",
  "cell": [[-0.593, -0.275, -4.764], [-0.901, -4.246, -2.069], [-4.352, -0.906, -1.833]],
  "species": ["Ac", "Rh", "Rh", "Cd"],
  "fractional_positions": [[0.500, 0.500, 0.500], [0.250, 0.250, 0.250], [0.750, 0.750, 0.750], [0.000, 0.000, 0.000]],
  "m_tot_mub_per_cell": 0.00,
  "e_tot_ev_per_cell": -189.85,
  "space_group": "Fm-3m",
  "n_ef_per_ev_cell": 1.855
}



[18]
{
  "formula": "SrAcCd2",
  "functional": "SCAN",
  "state": "single point on PBEsol structure",
  "cell": [[5.631, 0.000, 0.000], [2.816, 4.877, 0.000], [2.816, 1.626, 4.598]],
  "species": ["Sr", "Ac", "Cd", "Cd"],
  "fractional_positions": [[0.000, 0.000, 0.000], [0.500, 0.500, 0.500], [0.750, 0.750, 0.750], [0.250, 0.250, 0.250]],
  "m_tot_mub_per_cell": 0.00,
  "e_tot_ev_per_cell": -175.24,
  "space_group": "Fm-3m",
  "n_ef_per_ev_cell": 2.526
}



[19]
{
  "formula": "AcCu3",
  "functional": "SCAN",
  "state": "single point on PBEsol structure",
  "cell": [[4.254, 0.000, 0.000], [0.000, 6.477, 0.000], [0.000, -3.239, 5.609]],
  "species": ["Ac", "Ac", "Cu", "Cu", "Cu", "Cu", "Cu", "Cu"],
  "fractional_positions": [[0.250, 0.667, 0.333], [0.750, 0.333, 0.667], [0.750, 0.251, 0.126], [0.750, 0.874, 0.749], [0.750, 0.874, 0.126], [0.250, 0.749, 0.874], [0.250, 0.126, 0.251], [0.250, 0.126, 0.874]],
  "m_tot_mub_per_cell": 0.00,
  "e_tot_ev_per_cell": -272.71,
  "space_group": "P6_3/mmc",
  "n_ef_per_ev_cell": 4.531
}



[20]
{
  "formula": "Ac2CuGe",
  "functional": "SCAN",
  "state": "single point on PBEsol structure",
  "cell": [[5.349, 0.000, 0.000], [2.674, 4.632, 0.000], [2.674, 1.544, 4.367]],
  "species": ["Ac", "Ac", "Ge", "Cu"],
  "fractional_positions": [[0.750, 0.750, 0.750], [0.250, 0.250, 0.250], [0.000, 0.000, 0.000], [0.500, 0.500, 0.500]],
  "m_tot_mub_per_cell": 0.59,
  "e_tot_ev_per_cell": -216.73,
  "space_group": "Fm-3m",
  "n_ef_per_ev_cell": 2.678
}



[21]
{
  "formula": "Ac2CuSn",
  "functional": "SCAN",
  "state": "single point on PBEsol structure",
  "cell": [[-3.710, -3.679, -1.811], [0.983, -5.414, 0.542], [-2.921, -2.992, 3.618]],
  "species": ["Ac", "Ac", "Sn", "Cu"],
  "fractional_positions": [[0.750, 0.750, 0.750], [0.250, 0.250, 0.250], [0.000, 0.000, 0.000], [0.500, 0.500, 0.500]],
  "m_tot_mub_per_cell": 0.15,
  "e_tot_ev_per_cell": -233.62,
  "space_group": "Fm-3m",
  "n_ef_per_ev_cell": 3.863
}



[22]
{
  "formula": "AcEuZn2",
  "functional": "SCAN",
  "state": "single point on PBEsol structure",
  "cell": [[-0.832, 1.775, -4.937], [-1.833, -3.301, -3.736], [-4.958, 0.546, -1.826]],
  "species": ["Eu", "Ac", "Zn", "Zn"],
  "fractional_positions": [[0.500, 0.500, 0.500], [0.000, 0.000, 0.000], [0.750, 0.750, 0.750], [0.250, 0.250, 0.250]],
  "m_tot_mub_per_cell": 7.15,
  "e_tot_ev_per_cell": -172.44,
  "space_group": "Fm-3m",
  "n_ef_per_ev_cell": 2.091
}



[23]
{
  "formula": "Ac2InGa",
  "functional": "SCAN",
  "state": "single point on PBEsol structure",
  "cell": [[-0.790, -0.405, 5.522], [-5.166, -0.638, 2.046], [-1.531, -4.883, 2.255]],
  "species": ["Ac", "Ac", "Ga", "In"],
  "fractional_positions": [[0.250, 0.250, 0.250], [0.750, 0.750, 0.750], [0.500, 0.500, 0.500], [0.000, 0.000, 0.000]],
  "m_tot_mub_per_cell": 0.00,
  "e_tot_ev_per_cell": -232.79,
  "space_group": "Fm-3m",
  "n_ef_per_ev_cell": 3.023
}



[24]
{
  "formula": "Ac2MgGa",
  "functional": "SCAN",
  "state": "single point on PBEsol structure",
  "cell": [[-3.559, 2.777, -3.269], [-5.129, -2.001, -0.866], [-4.409, 2.573, 2.235]],
  "species": ["Ac", "Ac", "Mg", "Ga"],
  "fractional_positions": [[0.250, 0.250, 0.250], [0.750, 0.750, 0.750], [0.500, 0.500, 0.500], [0.000, 0.000, 0.000]],
  "m_tot_mub_per_cell": 0.05,
  "e_tot_ev_per_cell": -203.40,
  "space_group": "Fm-3m",
  "n_ef_per_ev_cell": 3.292
}



[25]
{
  "formula": "Ac2GaSi",
  "functional": "SCAN",
  "state": "single point on PBEsol structure",
  "cell": [[5.409, 0.000, 0.000], [2.704, 4.684, 0.000], [2.704, 1.561, 4.416]],
  "species": ["Ac", "Ac", "Si", "Ga"],
  "fractional_positions": [[0.250, 0.250, 0.250], [0.750, 0.750, 0.750], [0.000, 0.000, 0.000], [0.500, 0.500, 0.500]],
  "m_tot_mub_per_cell": 0.00,
  "e_tot_ev_per_cell": -208.99,
  "space_group": "Fm-3m",
  "n_ef_per_ev_cell": 1.878
}



[26]
{
  "formula": "SrAcGa2",
  "functional": "SCAN",
  "state": "single point on PBEsol structure",
  "cell": [[-1.301, -5.210, 0.876], [3.924, -3.729, 0.546], [0.947, -2.261, 4.857]],
  "species": ["Sr", "Ac", "Ga", "Ga"],
  "fractional_positions": [[0.000, 0.000, 0.000], [0.500, 0.500, 0.500], [0.750, 0.750, 0.750], [0.250, 0.250, 0.250]],
  "m_tot_mub_per_cell": 0.00,
  "e_tot_ev_per_cell": -147.30,
  "space_group": "Fm-3m",
  "n_ef_per_ev_cell": 2.982
}



[27]
{
  "formula": "Ac2ZnGa",
  "functional": "SCAN",
  "state": "single point on PBEsol structure",
  "cell": [[-2.576, -2.406, -4.132], [-4.799, -2.408, 0.824], [-4.530, 2.206, -2.030]],
  "species": ["Ac", "Ac", "Zn", "Ga"],
  "fractional_positions": [[0.750, 0.750, 0.750], [0.250, 0.250, 0.250], [0.000, 0.000, 0.000], [0.500, 0.500, 0.500]],
  "m_tot_mub_per_cell": 0.00,
  "e_tot_ev_per_cell": -212.44,
  "space_group": "Fm-3m",
  "n_ef_per_ev_cell": 3.926
}



[28]
{
  "formula": "LiAc2Ge",
  "functional": "SCAN",
  "state": "single point on PBEsol structure",
  "cell": [[5.461, 0.000, 0.000], [2.730, 4.729, 0.000], [2.730, 1.576, 4.459]],
  "species": ["Ac", "Ac", "Ge", "Li"],
  "fractional_positions": [[0.750, 0.750, 0.750], [0.250, 0.250, 0.250], [0.500, 0.500, 0.500], [0.000, 0.000, 0.000]],
  "m_tot_mub_per_cell": 0.01,
  "e_tot_ev_per_cell": -203.75,
  "space_group": "Fm-3m",
  "n_ef_per_ev_cell": 2.600
}



[29]
{
  "formula": "Ac2NiGe",
  "functional": "SCAN",
  "state": "single point on PBEsol structure",
  "cell": [[-2.571, -2.636, 3.807], [-0.467, -5.268, -0.279], [2.688, -3.078, 3.368]],
  "species": ["Ni", "Ac", "Ac", "Ge"],
  "fractional_positions": [[0.000, 0.000, 0.000], [0.750, 0.750, 0.750], [0.250, 0.250, 0.250], [0.500, 0.500, 0.500]],
  "m_tot_mub_per_cell": 0.00,
  "e_tot_ev_per_cell": -217.54,
  "space_group": "Fm-3m",
  "n_ef_per_ev_cell": 0.790
}



[30]
{
  "formula": "Ac2GePd",
  "functional": "SCAN",
  "state": "single point on PBEsol structure",
  "cell": [[-2.071, -4.744, 1.421], [2.789, -4.507, -0.846], [2.069, -2.695, 4.155]],
  "species": ["Ac", "Ac", "Ge", "Pd"],
  "fractional_positions": [[0.250, 0.250, 0.250], [0.750, 0.750, 0.750], [0.000, 0.000, 0.000], [0.500, 0.500, 0.500]],
  "m_tot_mub_per_cell": 0.00,
  "e_tot_ev_per_cell": -235.70,
  "space_group": "Fm-3m",
  "n_ef_per_ev_cell": 0.898
}